1.
DFT (PBE with a Hubbard U) results for a relaxed DyFeBi2O6 crystal.

Cell: 5.8396 5.8396 14.7496 Å, 90.00 90.00 120.00°
Space group R3 (No. 146, hexagonal axes)
Unique sites:
1 Dy 0.0000 0.0000 0.0000 (multiplicity 3)
2 Fe 0.0000 0.0000 0.5050 (multiplicity 3)
3 Bi 0.0000 0.0000 0.2179 (multiplicity 3)
4 Bi 0.0000 0.0000 0.7178 (multiplicity 3)
5 O 0.0097 0.4157 0.7757 (multiplicity 9)
6 O 0.0439 0.6215 0.2700 (multiplicity 9)

Size of the total moment, μB/f.u.: 4.97
Calculated volume, Å³ per cell: 435
Total DFT energy (no corrections), eV/cell: -198.37

---

2.
DFT (PBE with a Hubbard U) results for a relaxed Dy2FeBiO6 crystal.

Cell: 5.332 5.332 5.453 Å, 90.00 90.00 90.00°
Space group P4mm (No. 99)
Unique sites:
1 Dy 0.000 0.500 0.000 (multiplicity 2)
2 Fe 0.000 0.000 0.614 (multiplicity 1)
3 Bi 0.500 0.500 0.571 (multiplicity 1)
4 O 0.000 0.000 0.267 (multiplicity 1)
5 O 0.238 0.238 0.774 (multiplicity 4)
6 O 0.500 0.500 0.153 (multiplicity 1)

Size of the total moment, μB/f.u.: 4.99
Calculated volume, Å³ per cell: 155
Total DFT energy (no corrections), eV/cell: -70.32